A plane-wave DFT calculation with GGA-PBE was carried out for an optimized crystal structure of Sr12Bi3F5.

Values from the calculation:
ρ (Mg/m³): 4.30
DOS(E_F) (states/eV per cell): 94.338
Formation energy from raw total energies (meV/atom): -1630

Lattice parameters (Å, degrees): 17.6290 17.6290 17.6290 90.00 90.00 90.00
Space group Ia-3d (No. 230)
One atom of each set of equivalent atoms:
Sr (0.0388, 0.0541, 0.6535)
Bi (0.0000, 0.2500, 0.1250)
F (0.0000, 0.0000, 0.0000)
F (0.0000, 0.2500, 0.3750)

---

A plane-wave DFT calculation with GGA-PBE was carried out for an optimized crystal structure of La5Sm8Er.

Values from the calculation:
ρ (Mg/m³): 7.04
DOS(E_F) (states/eV per cell): 21.030
Energy relative to the elements (meV per atom): 49

Lattice parameters (Å, degrees): 7.1947 8.7969 9.0964 114.38 101.51 101.62
Space group P1 (No. 1)
One atom of each set of equivalent atoms:
La (0.0000, 0.0000, 0.0000)
La (0.0277, 0.8335, 0.2808)
La (0.1195, 0.5899, 0.8640)
La (0.3294, 0.7145, 0.5686)
La (0.6369, 0.4162, 0.1382)
Sm (0.1444, 0.4219, 0.1426)
Sm (0.2181, 0.1476, 0.7242)
Sm (0.4233, 0.2642, 0.4180)
Sm (0.5037, 0.9978, 0.0028)
Sm (0.6120, 0.5873, 0.8605)
Sm (0.7229, 0.1518, 0.7235)
Sm (0.8215, 0.7076, 0.5678)
Sm (0.9238, 0.2700, 0.4158)
Er (0.5313, 0.8330, 0.2810)

---

A plane-wave DFT calculation with GGA-PBE was carried out for an optimized crystal structure of HoLuIn4.

Values from the calculation:
ρ (Mg/m³): 8.84
DOS(E_F) (states/eV per cell): 15.574
Energy relative to the elements (meV per atom): -255

Lattice parameters (Å, degrees): 8.4355 8.4355 8.4355 90.00 90.00 90.00
Space group F-43m (No. 216)
One atom of each set of equivalent atoms:
Ho (0.0000, 0.0000, 0.0000)
Lu (0.2500, 0.2500, 0.7500)
In (0.1250, 0.1250, 0.3750)

---

A plane-wave DFT calculation with GGA-PBE was carried out for an optimized crystal structure of CaCd4Au8.

Values from the calculation:
ρ (Mg/m³): 12.83
DOS(E_F) (states/eV per cell): 7.806
Energy relative to the elements (meV per atom): -233

Lattice parameters (Å, degrees): 9.5707 9.5707 5.8378 90.00 90.00 90.00
Space group I4/mmm (No. 139)
One atom of each set of equivalent atoms:
Ca (0.0000, 0.0000, 0.0000)
Cd (0.2500, 0.2500, 0.2500)
Au (0.0000, 0.2136, 0.5000)
Au (0.0000, 0.3426, 0.0000)

---

Among the records above, which one has the highest ρ?
CaCd4Au8

---

What is the DOS(E_F) in the third record?
15.574 states/eV per cell

---

Copy entry 1 word for word.
A plane-wave DFT calculation with GGA-PBE was carried out for an optimized crystal structure of Sr12Bi3F5.

Values from the calculation:
ρ (Mg/m³): 4.30
DOS(E_F) (states/eV per cell): 94.338
Formation energy from raw total energies (meV/atom): -1630

Lattice parameters (Å, degrees): 17.6290 17.6290 17.6290 90.00 90.00 90.00
Space group Ia-3d (No. 230)
One atom of each set of equivalent atoms:
Sr (0.0388, 0.0541, 0.6535)
Bi (0.0000, 0.2500, 0.1250)
F (0.0000, 0.0000, 0.0000)
F (0.0000, 0.2500, 0.3750)